The following is a PBE calculation of CsTlAu2 after structural relaxation, from Alexandria via LeMat-Bulk.

Calculated values
E_form = -0.201 eV per atom
Raw total energy = -2.645 eV/atom
Energy above the most stable polymorph in this dataset = 0.023 eV per formula unit

```
CsTlAu2
1.0
-2.584 -2.264 3.468
-1.538 -4.580 -0.700
4.296 -4.599 3.635
Cs Tl Au
1 1 2
Cartesian
-0.110 -5.641 3.107
0.904 -8.898 5.173
-3.728 -7.005 2.957
-0.927 -2.464 1.137
```